[1]
The following is a PBE calculation of an optimized crystal structure of Si16Ge12P3Ir, from the Open Quantum Materials Database.

Results
size of the total moment	0.0	μB/cell
VASP energy	-0.383	Ry per atom

Lattice parameters (Å, degrees): 6.793 10.285 10.406 80.87 71.53 83.20
Space group P1 (No. 1)
One atom of each set of equivalent atoms:
Si 0.000 0.000 0.000
Si 0.000 0.118 0.618
Si 0.004 0.880 0.373
Si 0.006 0.500 0.500
Si 0.112 0.088 0.383
Si 0.114 0.953 0.770
Si 0.123 0.703 0.513
Si 0.124 0.831 0.145
Si 0.481 0.066 0.316
Si 0.492 0.682 0.438
Si 0.493 0.179 0.933
Si 0.501 0.558 0.820
Si 0.622 0.761 0.832
Si 0.627 0.021 0.083
Si 0.628 0.139 0.701
Si 0.628 0.635 0.212
Ge 0.003 0.621 0.138
Ge 0.006 0.360 0.885
Ge 0.115 0.424 0.280
Ge 0.124 0.321 0.644
Ge 0.127 0.573 0.899
Ge 0.491 0.936 0.689
Ge 0.498 0.429 0.204
Ge 0.502 0.811 0.067
Ge 0.619 0.379 0.964
Ge 0.626 0.510 0.583
Ge 0.626 0.887 0.450
Ge 0.997 0.747 0.748
P 0.135 0.187 0.023
P 0.498 0.303 0.562
P 0.633 0.248 0.335
Ir 0.975 0.237 0.238

---

[2]
The following is a PBE calculation of an optimized crystal structure of PrOF, from the Open Quantum Materials Database.

Results
size of the total moment	0.0	μB/cell
VASP energy	-0.558	Ry per atom

Lattice parameters (Å, degrees): 7.989 3.954 5.669 90.00 90.00 90.00
Space group Pnma (No. 62)
One atom of each set of equivalent atoms:
Pr 0.127 0.250 0.215
O 0.138 0.750 0.988
F 0.107 0.750 0.492

---

Repeat the first record exactly.
The following is a PBE calculation of an optimized crystal structure of Si16Ge12P3Ir, from the Open Quantum Materials Database.

Results
size of the total moment	0.0	μB/cell
VASP energy	-0.383	Ry per atom

Lattice parameters (Å, degrees): 6.793 10.285 10.406 80.87 71.53 83.20
Space group P1 (No. 1)
One atom of each set of equivalent atoms:
Si 0.000 0.000 0.000
Si 0.000 0.118 0.618
Si 0.004 0.880 0.373
Si 0.006 0.500 0.500
Si 0.112 0.088 0.383
Si 0.114 0.953 0.770
Si 0.123 0.703 0.513
Si 0.124 0.831 0.145
Si 0.481 0.066 0.316
Si 0.492 0.682 0.438
Si 0.493 0.179 0.933
Si 0.501 0.558 0.820
Si 0.622 0.761 0.832
Si 0.627 0.021 0.083
Si 0.628 0.139 0.701
Si 0.628 0.635 0.212
Ge 0.003 0.621 0.138
Ge 0.006 0.360 0.885
Ge 0.115 0.424 0.280
Ge 0.124 0.321 0.644
Ge 0.127 0.573 0.899
Ge 0.491 0.936 0.689
Ge 0.498 0.429 0.204
Ge 0.502 0.811 0.067
Ge 0.619 0.379 0.964
Ge 0.626 0.510 0.583
Ge 0.626 0.887 0.450
Ge 0.997 0.747 0.748
P 0.135 0.187 0.023
P 0.498 0.303 0.562
P 0.633 0.248 0.335
Ir 0.975 0.237 0.238